Entry 1:
The following is a DFT calculation (meta-GGA SCAN) of a PBEsol-optimized structure of TiTeAs.

Structure (CIF):
```
data_TiTeAs
_cell_length_a 3.536
_cell_length_b 5.224
_cell_length_c 12.692
_cell_angle_alpha 90.00
_cell_angle_beta 90.00
_cell_angle_gamma 90.00
_space_group_name_H-M_alt 'I m m m'
_space_group_IT_number 71
_space_group_name_Hall '-I 2 2'
loop_
_atom_site_label
_atom_site_type_symbol
_atom_site_fract_x
_atom_site_fract_y
_atom_site_fract_z
Ti1 Ti 0.000 0.000 0.118
Te1 Te 0.000 0.500 0.209
As1 As 0.000 0.246 0.500
```

Energy relative to the elements, uncorrected ... -762 meV per atom
Electronic total energy ... -25.2525 eV/atom
V ... 234.47 Å³/cell



Entry 2:
The following is a DFT calculation (meta-GGA SCAN) of a PBEsol-optimized structure of IrOsRh.

Structure (CIF):
```
data_IrOsRh
_cell_length_a 3.262
_cell_length_b 3.262
_cell_length_c 8.019
_cell_angle_alpha 90.00
_cell_angle_beta 90.00
_cell_angle_gamma 90.00
_space_group_name_H-M_alt 'I 4 m m'
_space_group_IT_number 107
_space_group_name_Hall 'I 4 -2'
loop_
_atom_site_label
_atom_site_type_symbol
_atom_site_fract_x
_atom_site_fract_y
_atom_site_fract_z
Ir1 Ir 0.000 0.000 0.000
Os1 Os 0.000 0.000 0.664
Rh1 Rh 0.000 0.000 0.333
```

Calculated formation energy ... 0.394 eV per atom
Polymorph energy (0 for the lowest one) ... 407 meV/atom
Electronic total energy ... -58.5226 eV/atom
V ... 85.33 Å³/cell



Entry 3:
The following is a DFT calculation (meta-GGA SCAN) of a PBEsol-optimized structure of K2HgSbBr6.

Structure (CIF):
```
data_K2HgSbBr6
_cell_length_a 11.261
_cell_length_b 11.261
_cell_length_c 11.261
_cell_angle_alpha 90.00
_cell_angle_beta 90.00
_cell_angle_gamma 90.00
_space_group_name_H-M_alt 'F m -3 m'
_space_group_IT_number 225
_space_group_name_Hall '-F 4 2 3'
loop_
_atom_site_label
_atom_site_type_symbol
_atom_site_fract_x
_atom_site_fract_y
_atom_site_fract_z
K1 K 0.250 0.250 0.250
Hg1 Hg 0.000 0.000 0.000
Sb1 Sb 0.000 0.000 0.500
Br1 Br 0.000 0.000 0.255
```

Energy relative to the elements, uncorrected ... -1020 meV per atom
Electronic total energy ... -24.9043 eV/atom
V ... 1427.92 Å³/cell



Entry 4:
The following is a DFT calculation (meta-GGA SCAN) of a PBEsol-optimized structure of SrAgIr2.

Structure (CIF):
```
data_SrAgIr2
_cell_length_a 2.856
_cell_length_b 3.824
_cell_length_c 7.065
_cell_angle_alpha 90.00
_cell_angle_beta 90.00
_cell_angle_gamma 90.00
_space_group_name_H-M_alt 'P m m 2'
_space_group_IT_number 25
loop_
_space_group_symop_operation_xyz
'x,y,z'
'-x,-y,z'
'-x,y,z'
'x,-y,z'
loop_
_atom_site_label
_atom_site_type_symbol
_atom_site_fract_x
_atom_site_fract_y
_atom_site_fract_z
Sr1 Sr 0.000 0.000 0.000
Ag1 Ag 0.500 0.500 0.312
Ir1 Ir 0.000 0.000 0.559
Ir2 Ir 0.500 0.500 0.695
```

Calculated formation energy ... 0.169 eV per atom
Polymorph energy (0 for the lowest one) ... 0 meV/atom
Electronic total energy ... -48.7910 eV/atom
V ... 77.17 Å³/cell



Entry 5:
The following is a DFT calculation (meta-GGA SCAN) of a PBEsol-optimized structure of BaLa2Cd.

Structure (CIF):
```
data_BaLa2Cd
_cell_length_a 3.866
_cell_length_b 3.866
_cell_length_c 9.500
_cell_angle_alpha 90.00
_cell_angle_beta 90.00
_cell_angle_gamma 90.00
_space_group_name_H-M_alt 'P 4 m m'
_space_group_IT_number 99
loop_
_space_group_symop_operation_xyz
'x,y,z'
'-y,x,z'
'-x,-y,z'
'y,-x,z'
'-x,y,z'
'y,x,z'
'x,-y,z'
'-y,-x,z'
loop_
_atom_site_label
_atom_site_type_symbol
_atom_site_fract_x
_atom_site_fract_y
_atom_site_fract_z
Ba1 Ba 0.000 0.000 0.000
La1 La 0.000 0.000 0.436
La2 La 0.500 0.500 0.673
Cd1 Cd 0.500 0.500 0.242
```

Calculated formation energy ... -0.149 eV per atom
Polymorph energy (0 for the lowest one) ... 0 meV/atom
Electronic total energy ... -39.1925 eV/atom
V ... 142.00 Å³/cell



Entry 6:
The following is a DFT calculation (meta-GGA SCAN) of a PBEsol-optimized structure of ZnCrSb2.

Structure (CIF):
```
data_ZnCrSb2
_cell_length_a 4.490
_cell_length_b 4.490
_cell_length_c 7.937
_cell_angle_alpha 90.00
_cell_angle_beta 90.00
_cell_angle_gamma 90.00
_space_group_name_H-M_alt 'I 4/m m m'
_space_group_IT_number 139
_space_group_name_Hall '-I 4 2'
loop_
_atom_site_label
_atom_site_type_symbol
_atom_site_fract_x
_atom_site_fract_y
_atom_site_fract_z
Zn1 Zn 0.000 0.000 0.000
Cr1 Cr 0.000 0.000 0.500
Sb1 Sb 0.000 0.500 0.250
```

Energy relative to the elements, uncorrected ... 232 meV per atom
Electronic total energy ... -26.3734 eV/atom
V ... 159.98 Å³/cell



Entry 7:
The following is a DFT calculation (meta-GGA SCAN) of a PBEsol-optimized structure of BaTl2Cl.

Structure (CIF):
```
data_BaTl2Cl
_cell_length_a 9.535
_cell_length_b 4.530
_cell_length_c 7.163
_cell_angle_alpha 90.00
_cell_angle_beta 117.00
_cell_angle_gamma 90.00
_space_group_name_H-M_alt 'C 1 m 1'
_space_group_IT_number 8
loop_
_space_group_symop_operation_xyz
'x,y,z'
'x,-y,z'
'x+1/2,y+1/2,z'
'x+1/2,-y+1/2,z'
loop_
_atom_site_label
_atom_site_type_symbol
_atom_site_fract_x
_atom_site_fract_y
_atom_site_fract_z
Ba1 Ba 0.000 0.000 0.000
Tl1 Tl 0.033 0.500 0.518
Tl2 Tl 0.294 0.500 0.391
Cl1 Cl 0.279 0.000 0.918
```

Energy relative to the elements, uncorrected ... -984 meV per atom
Polymorph energy (0 for the lowest one) ... 31 meV/atom
Electronic total energy ... -49.0453 eV/atom
V ... 275.67 Å³/cell



Entry 8:
The following is a DFT calculation (meta-GGA SCAN) of a PBEsol-optimized structure of Mn2CoSi.

Structure (CIF):
```
data_Mn2CoSi
_cell_length_a 5.546
_cell_length_b 5.546
_cell_length_c 5.546
_cell_angle_alpha 90.00
_cell_angle_beta 90.00
_cell_angle_gamma 90.00
_space_group_name_H-M_alt 'F -4 3 m'
_space_group_IT_number 216
_space_group_name_Hall 'F -4 2 3'
loop_
_atom_site_label
_atom_site_type_symbol
_atom_site_fract_x
_atom_site_fract_y
_atom_site_fract_z
Mn1 Mn 0.000 0.000 0.000
Mn2 Mn 0.250 0.250 0.250
Co1 Co 0.250 0.250 0.750
Si1 Si 0.000 0.000 0.500
```

Energy relative to the elements, uncorrected ... -473 meV per atom
Electronic total energy ... -16.4303 eV/atom
V ... 170.55 Å³/cell



Entry 9:
The following is a DFT calculation (meta-GGA SCAN) of a PBEsol-optimized structure of Tl2CuReRu.

Structure (CIF):
```
data_Tl2CuReRu
_cell_length_a 5.070
_cell_length_b 5.070
_cell_length_c 4.595
_cell_angle_alpha 90.00
_cell_angle_beta 90.00
_cell_angle_gamma 90.00
_space_group_name_H-M_alt 'P 4/m m m'
_space_group_IT_number 123
_space_group_name_Hall '-P 4 2'
loop_
_atom_site_label
_atom_site_type_symbol
_atom_site_fract_x
_atom_site_fract_y
_atom_site_fract_z
Tl1 Tl 0.000 0.500 0.000
Cu1 Cu 0.000 0.000 0.500
Re1 Re 0.500 0.500 0.500
Ru1 Ru 0.000 0.000 0.000
```

Calculated formation energy ... 1.789 eV per atom
Electronic total energy ... -51.3793 eV/atom
V ... 118.13 Å³/cell



Entry 10:
The following is a DFT calculation (meta-GGA SCAN) of a PBEsol-optimized structure of Hf3TiRe.

Structure (CIF):
```
data_Hf3TiRe
_cell_length_a 4.670
_cell_length_b 4.670
_cell_length_c 4.670
_cell_angle_alpha 90.00
_cell_angle_beta 90.00
_cell_angle_gamma 90.00
_space_group_name_H-M_alt 'P m -3 m'
_space_group_IT_number 221
_space_group_name_Hall '-P 4 2 3'
loop_
_atom_site_label
_atom_site_type_symbol
_atom_site_fract_x
_atom_site_fract_y
_atom_site_fract_z
Hf1 Hf 0.000 0.000 0.500
Ti1 Ti 0.000 0.000 0.000
Re1 Re 0.500 0.500 0.500
```

Calculated formation energy ... 1.389 eV per atom
Electronic total energy ... -53.6400 eV/atom
V ... 101.85 Å³/cell



Entry 11:
The following is a DFT calculation (meta-GGA SCAN) of a PBEsol-optimized structure of LiCl3.

Structure (CIF):
```
data_LiCl3
_cell_length_a 3.7385
_cell_length_b 3.7385
_cell_length_c 6.7869
_cell_angle_alpha 90.00
_cell_angle_beta 90.00
_cell_angle_gamma 120.00
_space_group_name_H-M_alt 'P -6 m 2'
_space_group_IT_number 187
_space_group_name_Hall 'P -6 2'
loop_
_atom_site_label
_atom_site_type_symbol
_atom_site_fract_x
_atom_site_fract_y
_atom_site_fract_z
Li1 Li 0.0000 0.0000 0.0000
Cl1 Cl 0.0000 0.0000 0.5000
Cl2 Cl 0.6667 0.3333 0.1784
```

Energy relative to the elements, uncorrected ... -564 meV per atom
Polymorph energy (0 for the lowest one) ... 389 meV/atom
Electronic total energy ... -7.1448 eV/atom
V ... 82.15 Å³/cell



Entry 12:
The following is a DFT calculation (meta-GGA SCAN) of a PBEsol-optimized structure of Ag2N2O.

Structure (CIF):
```
data_Ag2N2O
_cell_length_a 5.806
_cell_length_b 5.806
_cell_length_c 6.858
_cell_angle_alpha 90.00
_cell_angle_beta 90.00
_cell_angle_gamma 90.00
_space_group_name_H-M_alt 'P 4/m b m'
_space_group_IT_number 127
_space_group_name_Hall '-P 4 2ab'
loop_
_atom_site_label
_atom_site_type_symbol
_atom_site_fract_x
_atom_site_fract_y
_atom_site_fract_z
Ag1 Ag 0.249 0.251 0.000
N1 N 0.068 0.432 0.500
O1 O 0.000 0.000 0.000
```

Energy relative to the elements, uncorrected ... 68 meV per atom
Electronic total energy ... -17.4414 eV/atom
V ... 231.19 Å³/cell



Entry 13:
The following is a DFT calculation (meta-GGA SCAN) of a PBEsol-optimized structure of La3AlHg.

Structure (CIF):
```
data_La3AlHg
_cell_length_a 5.790
_cell_length_b 5.790
_cell_length_c 5.790
_cell_angle_alpha 90.00
_cell_angle_beta 90.00
_cell_angle_gamma 90.00
_space_group_name_H-M_alt 'P m -3 m'
_space_group_IT_number 221
_space_group_name_Hall '-P 4 2 3'
loop_
_atom_site_label
_atom_site_type_symbol
_atom_site_fract_x
_atom_site_fract_y
_atom_site_fract_z
La1 La 0.000 0.000 0.500
Al1 Al 0.500 0.500 0.500
Hg1 Hg 0.000 0.000 0.000
```

Calculated formation energy ... 0.146 eV per atom
Electronic total energy ... -40.9003 eV/atom
V ... 194.10 Å³/cell